Entry 1:
4
Lattice="0.000 3.482 3.482 3.482 0.000 3.482 3.482 3.482 0.000" Properties=species:S:1:pos:R:3 comment="NaMgBiPt, relaxed, DFT PBE" e_above_lowest_polymorph_kcal_per_mol_atoms=3.317 total_magnetization_mub_per_atom=0.00 total_energy_ev_per_atom=-3.417 pbc="T T T"
Bi 3.482 3.482 3.482
Pt 1.741 1.741 1.741
Na 0.000 0.000 0.000
Mg 5.223 5.223 5.223

***

Entry 2:
4
Lattice="-4.206 -0.257 2.685 -4.190 2.117 -1.712 -3.788 -2.861 -1.559" Properties=species:S:1:pos:R:3 comment="Mg2NbBi, relaxed, DFT PBE" total_magnetization_mub_per_atom=0.41 total_energy_ev_per_atom=-3.890 pbc="T T T"
Mg -9.138 -0.751 -0.439
Mg 0.000 0.000 0.000
Nb -3.046 -0.250 -0.146
Bi -6.092 -0.501 -0.293